# 1
Compound: CeDy2Ho8
Source: Alexandria
Functional: PBE
Structure: optimized geometry

Results
**Size of the total moment**: 1.09 μB per cell
**Total energy**: -4.667 eV per atom
**V**: 31.1 Å³ per atom

Cell and atoms, written as extended XYZ:
```
11
Lattice="9.001 -2.494 0.000 9.001 2.494 0.000 -2.075 0.000 7.612" Properties=species:S:1:pos:R:3 pbc="T T T"
Ce 0.000 0.000 0.000
Dy 4.134 0.000 2.763
Dy 11.793 0.000 4.849
Ho 0.688 0.000 3.460
Ho 1.366 0.000 6.909
Ho 4.852 0.000 6.236
Ho 7.633 0.000 2.053
Ho 8.294 0.000 5.558
Ho 11.074 0.000 1.376
Ho 14.560 0.000 0.703
Ho 15.239 0.000 4.152
```

***

# 2
Compound: Ce3YHo2Se6
Source: Alexandria
Functional: PBE
Structure: optimized geometry

Results
**Size of the total moment**: 3.00 μB per cell
**Total energy**: -6.321 eV per atom
**V**: 25.0 Å³ per atom
**Uncorrected formation energy**: -21.52 eV per formula unit

Cell and atoms, written as extended XYZ:
```
12
Lattice="3.551 -6.157 0.000 3.551 6.157 0.000 -2.372 0.000 6.859" Properties=species:S:1:pos:R:3 pbc="T T T"
Ce 0.000 0.000 0.000
Ce 3.551 2.043 0.000
Ce 3.551 -2.043 0.000
Y 2.365 0.000 3.430
Ho 2.365 4.104 3.430
Ho 2.365 -4.104 3.430
Se 1.177 2.063 1.802
Se -0.016 0.000 5.052
Se 1.177 -2.063 1.802
Se 3.554 2.063 5.057
Se 4.747 0.000 1.807
Se 3.554 -2.063 5.057
```